Record 1
VASP calculation (PBE) on crystalline CePr10Tm6 at its relaxed geometry.

abc: 9.8636 9.8636 6.9429
angles: 90.00 90.00 120.00
Positions (direct):
Ce1 0.0000 0.0000 0.0000
Pr1 0.0000 0.2773 0.3203
Pr2 0.0000 0.7227 0.6797
Pr3 0.2773 0.0000 0.3203
Pr4 0.2773 0.2773 0.6797
Pr5 0.3333 0.6667 0.0000
Pr6 0.3333 0.6667 0.5000
Pr7 0.6667 0.3333 0.0000
Pr8 0.6667 0.3333 0.5000
Pr9 0.7227 0.0000 0.6797
Pr10 0.7227 0.7227 0.3203
Tm1 0.0000 0.3649 0.8190
Tm2 0.0000 0.6351 0.1810
Tm3 0.3649 0.0000 0.8190
Tm4 0.3649 0.3649 0.1810
Tm5 0.6351 0.0000 0.1810
Tm6 0.6351 0.6351 0.8190

space group: P-31m (162)
formation enthalpy at 0 K: 0.15 eV/atom
spin magnetization: 0.64 μB per cell
calculated density: 7.3 g cm⁻³

Record 2
VASP calculation (PBE) on crystalline CePr12Tm7 at its relaxed geometry.

abc: 9.5149 9.5149 9.5149
angles: 108.37 108.37 108.37
Positions (direct):
Ce1 0.0000 0.0000 0.0000
Pr1 0.0301 0.6965 0.1349
Pr2 0.1349 0.0301 0.6965
Pr3 0.1616 0.4247 0.6422
Pr4 0.3035 0.8651 0.9699
Pr5 0.3578 0.8384 0.5753
Pr6 0.4247 0.6422 0.1616
Pr7 0.5753 0.3578 0.8384
Pr8 0.6422 0.1616 0.4247
Pr9 0.6965 0.1349 0.0301
Pr10 0.8384 0.5753 0.3578
Pr11 0.8651 0.9699 0.3035
Pr12 0.9699 0.3035 0.8651
Tm1 0.1229 0.4041 0.2698
Tm2 0.2698 0.1229 0.4041
Tm3 0.4041 0.2698 0.1229
Tm4 0.5000 0.5000 0.5000
Tm5 0.5959 0.7302 0.8771
Tm6 0.7302 0.8771 0.5959
Tm7 0.8771 0.5959 0.7302

space group: R-3 (148)
formation enthalpy at 0 K: 0.15 eV/atom
spin magnetization: 0.35 μB per cell
calculated density: 7.3 g cm⁻³

Record 3
VASP calculation (PBE) on crystalline CePr6Tm3 at its relaxed geometry.

abc: 7.0037 7.0037 7.0037
angles: 90.57 90.57 90.57
Positions (direct):
Ce1 0.0000 0.0000 0.0000
Pr1 0.0000 0.3235 0.6765
Pr2 0.1727 0.8273 0.5000
Pr3 0.3235 0.6765 0.0000
Pr4 0.5000 0.1727 0.8273
Pr5 0.6765 0.0000 0.3235
Pr6 0.8273 0.5000 0.1727
Tm1 0.2494 0.2494 0.2494
Tm2 0.5000 0.5000 0.5000
Tm3 0.7506 0.7506 0.7506

space group: R32 (155)
formation enthalpy at 0 K: 0.23 eV/atom
spin magnetization: 1.95 μB per cell
calculated density: 7.2 g cm⁻³

Record 4
VASP calculation (PBE) on crystalline CePr8Tm5 at its relaxed geometry.

abc: 8.5540 8.5540 9.1567
angles: 121.77 121.77 80.92
Positions (direct):
Ce1 0.0000 0.0000 0.0000
Pr1 0.1128 0.5079 0.2346
Pr2 0.1413 0.7260 0.7231
Pr3 0.2740 0.8587 0.2769
Pr4 0.3402 0.3471 0.9479
Pr5 0.4921 0.8872 0.7654
Pr6 0.6529 0.6598 0.0521
Pr7 0.7127 0.1479 0.7125
Pr8 0.8521 0.2873 0.2875
Tm1 0.3282 0.3365 0.5457
Tm2 0.5048 0.1248 0.2479
Tm3 0.6635 0.6718 0.4543
Tm4 0.8752 0.4952 0.7521
Tm5 0.9902 0.0098 0.5000

space group: C2 (5)
formation enthalpy at 0 K: 0.18 eV/atom
spin magnetization: 1.05 μB per cell
calculated density: 7.3 g cm⁻³

Record 5
VASP calculation (PBE) on crystalline Ce2Pr8Tm at its relaxed geometry.

abc: 9.5497 9.5497 9.5497
angles: 145.44 127.77 64.15
Positions (direct):
Ce1 0.2008 0.2008 0.0000
Ce2 0.7992 0.7992 0.0000
Pr1 0.0670 0.3606 0.7064
Pr2 0.2044 0.0000 0.2044
Pr3 0.3435 0.8435 0.5000
Pr4 0.3457 0.6394 0.7064
Pr5 0.6543 0.3606 0.2936
Pr6 0.6565 0.1565 0.5000
Pr7 0.7956 0.0000 0.7956
Pr8 0.9330 0.6394 0.2936
Tm1 0.5000 0.5000 0.0000

space group: Immm (71)
formation enthalpy at 0 K: 0.16 eV/atom
spin magnetization: 1.64 μB per cell
calculated density: 6.8 g cm⁻³

Record 6
VASP calculation (PBE) on crystalline CePr4Tm4 at its relaxed geometry.

abc: 8.0463 8.0463 8.0463
angles: 95.70 95.70 143.25
Positions (direct):
Ce1 0.0000 0.0000 0.0000
Pr1 0.3349 0.3349 0.6699
Pr2 0.3349 0.6651 0.0000
Pr3 0.6651 0.3349 0.0000
Pr4 0.6651 0.6651 0.3301
Tm1 0.0000 0.3365 0.3365
Tm2 0.0000 0.6635 0.6635
Tm3 0.3365 0.0000 0.3365
Tm4 0.6635 0.0000 0.6635

space group: I4/mmm (139)
formation enthalpy at 0 K: 0.05 eV/atom
spin magnetization: 0.74 μB per cell
calculated density: 7.7 g cm⁻³

Record 7
VASP calculation (PBE) on crystalline CePrTm3 at its relaxed geometry.

abc: 6.1198 6.1503 9.3493
angles: 108.87 102.61 99.83
Positions (direct):
Ce1 0.2405 0.1914 0.1439
Ce2 0.7595 0.8086 0.8561
Pr1 0.2460 0.7984 0.3463
Pr2 0.7540 0.2016 0.6537
Tm1 0.2534 0.4033 0.5502
Tm2 0.2528 0.5986 0.9491
Tm3 0.2526 0.9950 0.7536
Tm4 0.7474 0.0050 0.2464
Tm5 0.7472 0.4014 0.0509
Tm6 0.7466 0.5967 0.4498

space group: P-1 (2)
formation enthalpy at 0 K: 0.07 eV/atom
spin magnetization: 2.37 μB per cell
calculated density: 8.3 g cm⁻³

Record 8
VASP calculation (PBE) on crystalline CePr12Tm7 at its relaxed geometry.

abc: 11.5124 11.5124 11.5124
angles: 116.81 116.81 116.81
Positions (direct):
Ce1 0.0000 0.0000 0.0000
Pr1 0.0758 0.4291 0.4285
Pr2 0.0878 0.9114 0.4993
Pr3 0.0886 0.5007 0.9122
Pr4 0.4285 0.0758 0.4291
Pr5 0.4291 0.4285 0.0758
Pr6 0.4993 0.0878 0.9114
Pr7 0.5007 0.9122 0.0886
Pr8 0.5709 0.5715 0.9242
Pr9 0.5715 0.9242 0.5709
Pr10 0.9114 0.4993 0.0878
Pr11 0.9122 0.0886 0.5007
Pr12 0.9242 0.5709 0.5715
Tm1 0.1160 0.1168 0.3575
Tm2 0.1168 0.3575 0.1160
Tm3 0.3575 0.1160 0.1168
Tm4 0.5000 0.5000 0.5000
Tm5 0.6425 0.8840 0.8832
Tm6 0.8832 0.6425 0.8840
Tm7 0.8840 0.8832 0.6425

space group: R-3 (148)
formation enthalpy at 0 K: 0.24 eV/atom
spin magnetization: 0.55 μB per cell
calculated density: 7.2 g cm⁻³

Record 9
VASP calculation (PBE) on crystalline CePr5Tm at its relaxed geometry.

abc: 12.0229 9.0388 5.9968
angles: 90.00 90.01 90.00
Positions (direct):
Ce1 0.0000 0.0000 0.0000
Ce2 0.5000 0.5000 0.0000
Pr1 0.0000 0.1837 0.5000
Pr2 0.0000 0.5000 0.0000
Pr3 0.0000 0.8163 0.5000
Pr4 0.2480 0.0000 0.4987
Pr5 0.2520 0.5000 0.5013
Pr6 0.5000 0.0000 0.0000
Pr7 0.5000 0.3163 0.5000
Pr8 0.5000 0.6837 0.5000
Pr9 0.7480 0.5000 0.4987
Pr10 0.7520 0.0000 0.5013
Tm1 0.0000 0.5000 0.5000
Tm2 0.5000 0.0000 0.5000

space group: C2/m (12)
formation enthalpy at 0 K: 0.94 eV/atom
spin magnetization: 3.56 μB per cell
calculated density: 5.2 g cm⁻³

Record 10
VASP calculation (PBE) on crystalline CePr4Tm5 at its relaxed geometry.

abc: 8.7088 8.7088 11.3232
angles: 90.26 90.26 23.27
Positions (direct):
Ce1 0.0000 0.0000 0.0000
Pr1 0.1618 0.1618 0.7499
Pr2 0.4676 0.4676 0.7533
Pr3 0.5324 0.5324 0.2467
Pr4 0.8382 0.8382 0.2501
Tm1 0.0000 0.0000 0.5000
Tm2 0.3279 0.3279 0.5431
Tm3 0.3286 0.3286 0.9584
Tm4 0.6714 0.6714 0.0416
Tm5 0.6721 0.6721 0.4569

space group: C2/m (12)
formation enthalpy at 0 K: 0.21 eV/atom
spin magnetization: 0.38 μB per cell
calculated density: 7.6 g cm⁻³

Record 11
VASP calculation (PBE) on crystalline CePr2Tm at its relaxed geometry.

abc: 3.6002 3.6002 35.2739
angles: 90.00 90.00 120.00
Positions (direct):
Ce1 0.0000 0.0000 0.0000
Ce2 0.3333 0.6667 0.6667
Ce3 0.6667 0.3333 0.3333
Pr1 0.0000 0.0000 0.5828
Pr2 0.0000 0.0000 0.7501
Pr3 0.3333 0.6667 0.2495
Pr4 0.3333 0.6667 0.4167
Pr5 0.6667 0.3333 0.0834
Pr6 0.6667 0.3333 0.9161
Tm1 0.0000 0.0000 0.1668
Tm2 0.3333 0.6667 0.8334
Tm3 0.6667 0.3333 0.5001

space group: R3m (160)
formation enthalpy at 0 K: 0.07 eV/atom
spin magnetization: 2.31 μB per cell
calculated density: 7.4 g cm⁻³

Record 12
VASP calculation (PBE) on crystalline CePr3Tm4 at its relaxed geometry.

abc: 3.4158 11.6310 13.1232
angles: 90.00 90.00 90.00
Positions (direct):
Ce1 0.0000 0.0000 0.0000
Ce2 0.5000 0.5000 0.5000
Pr1 0.0000 0.0000 0.5000
Pr2 0.0000 0.5000 0.2638
Pr3 0.0000 0.5000 0.7362
Pr4 0.5000 0.0000 0.2362
Pr5 0.5000 0.0000 0.7638
Pr6 0.5000 0.5000 0.0000
Tm1 0.0000 0.2498 0.1334
Tm2 0.0000 0.2498 0.8666
Tm3 0.0000 0.7502 0.1334
Tm4 0.0000 0.7502 0.8666
Tm5 0.5000 0.2502 0.3666
Tm6 0.5000 0.2502 0.6334
Tm7 0.5000 0.7498 0.3666
Tm8 0.5000 0.7498 0.6334

space group: Immm (71)
formation enthalpy at 0 K: 0.16 eV/atom
spin magnetization: 2.44 μB per cell
calculated density: 7.9 g cm⁻³